# PBE GdMgAgBi, relaxed
data_GdMgAgBi
_chemical_formula_sum 'Gd4 Mg4 Ag4 Bi4'
_cell_length_a 7.402
_cell_length_b 7.402
_cell_length_c 7.402
_cell_angle_alpha 90.00
_cell_angle_beta 90.00
_cell_angle_gamma 90.00
_space_group_name_H-M_alt 'F -4 3 m'
_space_group_IT_number 216
_space_group_name_Hall 'F -4 2 3'
loop_
_atom_site_label
_atom_site_fract_x
_atom_site_fract_y
_atom_site_fract_z
_atom_site_occupancy
Gd1 0.000 0.000 0.000 1
Mg1 0.000 0.000 0.500 1
Ag1 0.250 0.250 0.250 1
Bi1 0.250 0.250 0.750 1
# E_form = -0.303 eV per atom